# 1
Below is a crystal of SrMg3Co relaxed with PBEsol, with properties calculated at the meta-GGA SCAN level.

## Properties
Volume: 47.4 A^3/atom
Calculated formation energy: 1.643 eV/atom
Fermi-level density of states: 3.24 states/eV per cell
Electronic total energy: -9.257 eV per atom
Spin magnetization: 2.02 Bohr magnetons per cell

abc: 6.190 6.190 6.190
angles: 90.00 90.00 90.00
Space group Pm-3m (No. 221)
Unique sites:
1 Sr 0.000 0.000 0.000 x1
2 Mg 0.000 0.000 0.500 x3
3 Co 0.500 0.500 0.500 x1



# 2
Below is a crystal of AsIr2Au relaxed with PBEsol, with properties calculated at the meta-GGA SCAN level.

## Properties
Volume: 15.6 A^3/atom
Calculated formation energy: 0.283 eV/atom
Fermi-level density of states: 9.71 states/eV per cell
Electronic total energy: -57.604 eV per atom
Spin magnetization: 1.60 Bohr magnetons per cell

abc: 2.8182 2.8182 27.1714
angles: 90.00 90.00 120.00
Space group R3m (No. 160, hexagonal axes)
Unique sites:
1 As 0.0000 0.0000 0.0000 x3
2 Ir 0.0000 0.0000 0.2585 x3
3 Ir 0.0000 0.0000 0.5127 x3
4 Au 0.0000 0.0000 0.7603 x3